Computed, not measured: a relaxed structure of HfTc2W at the PBE level of DFT.

Summary:
relative energy among the computed polymorphs: 0.316 eV/atom
uncorrected energy: -10.9402 eV per atom
total magnetic moment: 0.0 μB/cell
calculated formation energy: -0.12 eV per formula unit
ρ: 14.376 Mg/m³

abc: 6.3658 6.3658 6.3658
angles: 90.00 90.00 90.00
Last column: nearest neighbours and their distance in Å.
Space group F-43m (No. 216)
Unique sites:
Hf: 0.0000 0.0000 0.0000 x4  4 Tc 2.76, 4 W 2.76
Tc: 0.0000 0.0000 0.5000 x4  4 W 2.76, 4 Tc 2.76
Tc: 0.2500 0.2500 0.2500 x4  4 Hf 2.76, 4 Tc 2.76
W: 0.2500 0.2500 0.7500 x4  4 Hf 2.76, 4 Tc 2.76